DFT (PBEsol) results for a geometry-optimized LaS2O structure.

a = 3.335 Å, b = 3.335 Å, c = 8.209 Å
α = 78.28°, β = 78.28°, γ = 60.00°
Fractional coordinates of all 4 atoms:
S: 0.887 0.887 0.338
S: 0.113 0.113 0.662
O: 0.500 0.500 0.500
La: 0.000 0.000 0.000

The calculation puts the total moment at 0.000 μB/atom. For the uncorrected formation energy, the calculation gives 566 meV per atom. Its space group is R-3m (166).

DFT (PBEsol) results for a geometry-optimized As2PtBrCl structure.

a = 4.828 Å, b = 4.792 Å, c = 4.792 Å
α = 90.00°, β = 90.00°, γ = 90.00°
Fractional coordinates of all 5 atoms:
As: 0.000 0.000 0.500
As: 0.000 0.500 0.000
Br: 0.500 0.000 0.000
Pt: 0.500 0.500 0.500
Cl: 0.000 0.000 0.000

The calculation puts the total moment at 0.000 μB/atom. For the uncorrected formation energy, the calculation gives 1384 meV per atom. Its space group is P4/mmm (123).

DFT (PBEsol) results for a geometry-optimized SrAlTe2P structure.

a = 5.085 Å, b = 5.085 Å, c = 6.379 Å
α = 90.00°, β = 90.00°, γ = 90.00°
Each line ends with the local moment (μB).
Fractional coordinates of all 5 atoms:
Sr: 0.000 0.000 0.500  0.01
Te: 0.000 0.500 0.000  0.04
Te: 0.500 0.000 0.000  0.04
Al: 0.000 0.000 0.000  0.01
P: 0.500 0.500 0.500  0.59

The calculation puts the total moment at 0.322 μB/atom. For the uncorrected formation energy, the calculation gives 357 meV per atom. Its space group is P4/mmm (123).

DFT (PBEsol) results for a geometry-optimized AsHSe2I structure.

a = 5.434 Å, b = 5.434 Å, c = 5.454 Å
α = 90.00°, β = 90.00°, γ = 90.00°
Each line ends with the local moment (μB).
Fractional coordinates of all 5 atoms:
I: 0.000 0.000 0.000  -0.02
H: 0.500 0.500 0.500  0.36
As: 0.000 0.000 0.500  0.63
Se: 0.000 0.500 0.000  0.06
Se: 0.500 0.000 0.000  0.06

The calculation puts the total moment at 0.488 μB/atom. The total energy is -0.157 Ry per atom. Its space group is P4/mmm (123).